w) {
  "formula": "FeRhAu2",
  "functional": "GGA-PBEsol",
  "state": "optimized geometry",
  "lattice": [[2.779, 0.000, 0.000], [0.000, 2.779, 0.000], [0.000, 0.000, 7.660]],
  "species": ["Fe", "Rh", "Au", "Au"],
  "frac_coords": [[0.000, 0.000, 0.000], [0.500, 0.500, 0.206], [0.000, 0.000, 0.472], [0.500, 0.500, 0.756]],
  "m_tot_mub_per_atom": 0.859,
  "crystal_system": "tetragonal",
  "space_group": "P4mm"
}

x) {
  "formula": "FeRhAu2",
  "functional": "GGA-PBEsol",
  "state": "optimized geometry",
  "lattice": [[5.438, 0.000, 0.000], [0.000, 7.727, 0.000], [0.000, 0.000, 2.831]],
  "species": ["Fe", "Fe", "Rh", "Rh", "Au", "Au", "Au", "Au"],
  "frac_coords": [[0.000, 0.000, 0.000], [0.500, 0.500, 0.000], [0.000, 0.500, 0.000], [0.500, 0.000, 0.000], [0.250, 0.250, 0.500], [0.250, 0.750, 0.500], [0.750, 0.250, 0.500], [0.750, 0.750, 0.500]],
  "m_tot_mub_per_atom": 0.930,
  "crystal_system": "orthorhombic",
  "space_group": "Cmmm"
}

w) has the most favorable energy; the next structure is 97 meV per atom above.

w) {
  "formula": "FeRhAu2",
  "functional": "GGA-PBEsol",
  "state": "optimized geometry",
  "lattice": [[2.762, 0.000, 0.000], [0.000, 2.762, 0.000], [0.000, 0.000, 7.718]],
  "species": ["Fe", "Rh", "Au", "Au"],
  "frac_coords": [[0.000, 0.000, 0.000], [0.000, 0.000, 0.500], [0.500, 0.500, 0.240], [0.500, 0.500, 0.760]],
  "m_tot_mub_per_atom": 0.718,
  "crystal_system": "tetragonal",
  "space_group": "P4/mmm"
}

x) {
  "formula": "FeRhAu2",
  "functional": "GGA-PBEsol",
  "state": "optimized geometry",
  "lattice": [[2.850, 0.000, 0.000], [0.000, 3.595, 0.000], [0.000, 0.000, 5.826]],
  "species": ["Fe", "Rh", "Au", "Au"],
  "frac_coords": [[0.000, 0.000, 0.000], [0.500, 0.500, 0.205], [0.000, 0.000, 0.469], [0.500, 0.500, 0.744]],
  "m_tot_mub_per_atom": 0.961,
  "crystal_system": "orthorhombic",
  "space_group": "Pmm2"
}

x) has the most favorable energy; the next structure is 91 meV per atom above.

w) {
  "formula": "Fe2RuAu",
  "functional": "GGA-PBEsol",
  "state": "optimized geometry",
  "lattice": [[2.650, 0.000, 0.000], [0.000, 2.650, 0.000], [0.000, 0.000, 7.498]],
  "species": ["Fe", "Fe", "Ru", "Au"],
  "frac_coords": [[0.000, 0.000, 0.232], [0.000, 0.000, 0.768], [0.500, 0.500, 0.000], [0.500, 0.500, 0.500]],
  "m_tot_mub_per_atom": 1.136,
  "crystal_system": "tetragonal",
  "space_group": "P4/mmm"
}

x) {
  "formula": "Fe2RuAu",
  "functional": "GGA-PBEsol",
  "state": "optimized geometry",
  "lattice": [[3.807, 0.000, 0.000], [0.000, 3.807, 0.000], [0.000, 0.000, 7.260]],
  "species": ["Fe", "Fe", "Fe", "Fe", "Ru", "Ru", "Au", "Au"],
  "frac_coords": [[0.000, 0.500, 0.250], [0.000, 0.500, 0.750], [0.500, 0.000, 0.250], [0.500, 0.000, 0.750], [0.000, 0.000, 0.000], [0.500, 0.500, 0.500], [0.000, 0.000, 0.500], [0.500, 0.500, 0.000]],
  "m_tot_mub_per_atom": 1.365,
  "crystal_system": "tetragonal",
  "space_group": "I4/mmm"
}

y) {
  "formula": "Fe2RuAu",
  "functional": "GGA-PBEsol",
  "state": "optimized geometry",
  "lattice": [[8.769, 0.000, 0.000], [0.000, 2.680, 0.000], [-1.019, 0.000, 4.471]],
  "species": ["Fe", "Fe", "Fe", "Fe", "Ru", "Ru", "Au", "Au"],
  "frac_coords": [[0.000, 0.000, 0.000], [0.232, 0.500, 0.255], [0.500, 0.500, 0.000], [0.732, 0.000, 0.255], [0.254, 0.000, 0.801], [0.754, 0.500, 0.801], [0.490, 0.000, 0.495], [0.990, 0.500, 0.495]],
  "m_tot_mub_per_atom": 1.145,
  "crystal_system": "monoclinic",
  "space_group": "Cm"
}

w) has the most favorable energy; the next structure is 56 meV per atom above.

w) {
  "formula": "Fe2RuAu",
  "functional": "GGA-PBEsol",
  "state": "optimized geometry",
  "lattice": [[2.705, 0.000, 0.000], [-1.353, 2.343, 0.000], [0.000, 0.000, 25.321]],
  "species": ["Fe", "Fe", "Fe", "Fe", "Fe", "Fe", "Ru", "Ru", "Ru", "Au", "Au", "Au"],
  "frac_coords": [[0.000, 0.000, 0.000], [0.000, 0.000, 0.260], [0.333, 0.667, 0.667], [0.333, 0.667, 0.927], [0.667, 0.333, 0.333], [0.667, 0.333, 0.593], [0.000, 0.000, 0.517], [0.333, 0.667, 0.183], [0.667, 0.333, 0.850], [0.000, 0.000, 0.755], [0.333, 0.667, 0.421], [0.667, 0.333, 0.088]],
  "m_tot_mub_per_atom": 1.218,
  "crystal_system": "trigonal",
  "space_group": "R3m"
}

x) {
  "formula": "Fe2RuAu",
  "functional": "GGA-PBEsol",
  "state": "optimized geometry",
  "lattice": [[6.017, 0.000, 0.000], [0.000, 6.017, 0.000], [0.000, 0.000, 6.017]],
  "species": ["Fe", "Fe", "Fe", "Fe", "Fe", "Fe", "Fe", "Fe", "Ru", "Ru", "Ru", "Ru", "Au", "Au", "Au", "Au"],
  "frac_coords": [[0.000, 0.000, 0.000], [0.000, 0.500, 0.500], [0.250, 0.250, 0.250], [0.250, 0.750, 0.750], [0.500, 0.000, 0.500], [0.500, 0.500, 0.000], [0.750, 0.250, 0.750], [0.750, 0.750, 0.250], [0.000, 0.000, 0.500], [0.000, 0.500, 0.000], [0.500, 0.000, 0.000], [0.500, 0.500, 0.500], [0.250, 0.250, 0.750], [0.250, 0.750, 0.250], [0.750, 0.250, 0.250], [0.750, 0.750, 0.750]],
  "m_tot_mub_per_atom": 1.574,
  "crystal_system": "cubic",
  "space_group": "F-43m"
}

w) has the most favorable energy; the next structure is 151 meV per atom above.

w) {
  "formula": "SrFeAu2",
  "functional": "GGA-PBEsol",
  "state": "optimized geometry",
  "lattice": [[6.903, 0.000, 0.000], [0.000, 6.903, 0.000], [0.000, 0.000, 6.903]],
  "species": ["Sr", "Sr", "Sr", "Sr", "Fe", "Fe", "Fe", "Fe", "Au", "Au", "Au", "Au", "Au", "Au", "Au", "Au"],
  "frac_coords": [[0.000, 0.000, 0.000], [0.000, 0.500, 0.500], [0.500, 0.000, 0.500], [0.500, 0.500, 0.000], [0.000, 0.000, 0.500], [0.000, 0.500, 0.000], [0.500, 0.000, 0.000], [0.500, 0.500, 0.500], [0.250, 0.250, 0.250], [0.250, 0.250, 0.750], [0.250, 0.750, 0.250], [0.250, 0.750, 0.750], [0.750, 0.250, 0.250], [0.750, 0.250, 0.750], [0.750, 0.750, 0.250], [0.750, 0.750, 0.750]],
  "m_tot_mub_per_atom": 0.814,
  "crystal_system": "cubic",
  "space_group": "Fm-3m"
}

x) {
  "formula": "SrFeAu2",
  "functional": "GGA-PBEsol",
  "state": "optimized geometry",
  "lattice": [[4.428, 0.000, 0.000], [-2.214, 3.834, 0.000], [0.000, 0.000, 16.126]],
  "species": ["Sr", "Sr", "Sr", "Fe", "Fe", "Fe", "Au", "Au", "Au", "Au", "Au", "Au"],
  "frac_coords": [[0.000, 0.000, 0.000], [0.333, 0.667, 0.667], [0.667, 0.333, 0.333], [0.000, 0.000, 0.189], [0.333, 0.667, 0.855], [0.667, 0.333, 0.522], [0.000, 0.000, 0.530], [0.000, 0.000, 0.804], [0.333, 0.667, 0.196], [0.333, 0.667, 0.470], [0.667, 0.333, 0.137], [0.667, 0.333, 0.863]],
  "m_tot_mub_per_atom": 0.686,
  "crystal_system": "trigonal",
  "space_group": "R3m"
}

x) has the most favorable energy; the next structure is 259 meV per atom above.

w) {
  "formula": "FeTcAu",
  "functional": "GGA-PBEsol",
  "state": "optimized geometry",
  "lattice": [[5.700, 0.000, 0.000], [0.000, 5.700, 0.000], [0.000, 0.000, 5.700]],
  "species": ["Fe", "Fe", "Fe", "Fe", "Tc", "Tc", "Tc", "Tc", "Au", "Au", "Au", "Au"],
  "frac_coords": [[0.000, 0.000, 0.000], [0.000, 0.500, 0.500], [0.500, 0.000, 0.500], [0.500, 0.500, 0.000], [0.250, 0.250, 0.250], [0.250, 0.750, 0.750], [0.750, 0.250, 0.750], [0.750, 0.750, 0.250], [0.250, 0.250, 0.750], [0.250, 0.750, 0.250], [0.750, 0.250, 0.250], [0.750, 0.750, 0.750]],
  "m_tot_mub_per_atom": 0.569,
  "crystal_system": "cubic",
  "space_group": "F-43m"
}

x) {
  "formula": "FeTcAu",
  "functional": "GGA-PBEsol",
  "state": "optimized geometry",
  "lattice": [[2.708, 0.000, 0.000], [0.000, 2.708, 0.000], [0.000, 0.000, 11.214]],
  "species": ["Fe", "Fe", "Tc", "Tc", "Au", "Au"],
  "frac_coords": [[0.000, 0.000, 0.000], [0.500, 0.500, 0.500], [0.000, 0.000, 0.633], [0.500, 0.500, 0.133], [0.000, 0.000, 0.324], [0.500, 0.500, 0.824]],
  "m_tot_mub_per_atom": 0.301,
  "crystal_system": "tetragonal",
  "space_group": "I4mm"
}

x) has the most favorable energy; the next structure is 398 meV per atom above.

w) {
  "formula": "TlFeAu2",
  "functional": "GGA-PBEsol",
  "state": "optimized geometry",
  "lattice": [[3.007, 0.000, 0.000], [0.000, 3.655, 0.000], [0.000, 0.000, 6.378]],
  "species": ["Tl", "Fe", "Au", "Au"],
  "frac_coords": [[0.000, 0.000, 0.000], [0.500, 0.500, 0.729], [0.000, 0.000, 0.535], [0.500, 0.500, 0.287]],
  "m_tot_mub_per_atom": 0.760,
  "crystal_system": "orthorhombic",
  "space_group": "Pmm2"
}

x) {
  "formula": "TlFeAu2",
  "functional": "GGA-PBEsol",
  "state": "optimized geometry",
  "lattice": [[2.987, 0.000, 0.000], [0.000, 2.987, 0.000], [0.000, 0.000, 8.027]],
  "species": ["Tl", "Fe", "Au", "Au"],
  "frac_coords": [[0.000, 0.000, 0.000], [0.000, 0.000, 0.500], [0.500, 0.500, 0.295], [0.500, 0.500, 0.705]],
  "m_tot_mub_per_atom": 0.772,
  "crystal_system": "tetragonal",
  "space_group": "P4/mmm"
}

x) has the most favorable energy; the next structure is 87 meV per atom above.

w) {
  "formula": "FeW2Au",
  "functional": "GGA-PBEsol",
  "state": "optimized geometry",
  "lattice": [[3.255, 0.000, 0.000], [0.000, 3.255, 0.000], [0.000, 0.000, 5.626]],
  "species": ["Fe", "W", "W", "Au"],
  "frac_coords": [[0.000, 0.000, 0.000], [0.500, 0.500, 0.216], [0.500, 0.500, 0.784], [0.000, 0.000, 0.500]],
  "m_tot_mub_per_atom": 0.417,
  "crystal_system": "tetragonal",
  "space_group": "P4/mmm"
}

x) {
  "formula": "FeW2Au",
  "functional": "GGA-PBEsol",
  "state": "optimized geometry",
  "lattice": [[6.212, 0.000, 0.000], [0.000, 6.212, 0.000], [0.000, 0.000, 6.212]],
  "species": ["Fe", "Fe", "Fe", "Fe", "W", "W", "W", "W", "W", "W", "W", "W", "Au", "Au", "Au", "Au"],
  "frac_coords": [[0.000, 0.000, 0.000], [0.000, 0.500, 0.500], [0.500, 0.000, 0.500], [0.500, 0.500, 0.000], [0.000, 0.000, 0.500], [0.000, 0.500, 0.000], [0.250, 0.250, 0.250], [0.250, 0.750, 0.750], [0.500, 0.000, 0.000], [0.500, 0.500, 0.500], [0.750, 0.250, 0.750], [0.750, 0.750, 0.250], [0.250, 0.250, 0.750], [0.250, 0.750, 0.250], [0.750, 0.250, 0.250], [0.750, 0.750, 0.750]],
  "m_tot_mub_per_atom": 0.570,
  "crystal_system": "cubic",
  "space_group": "F-43m"
}

w) has the most favorable energy; the next structure is 94 meV per atom above.

w) {
  "formula": "FeW2Au",
  "functional": "GGA-PBEsol",
  "state": "optimized geometry",
  "lattice": [[2.700, 0.000, 0.000], [0.000, 2.700, 0.000], [0.000, 0.000, 8.079]],
  "species": ["Fe", "W", "W", "Au"],
  "frac_coords": [[0.000, 0.000, 0.000], [0.000, 0.000, 0.490], [0.500, 0.500, 0.217], [0.500, 0.500, 0.756]],
  "m_tot_mub_per_atom": 0.385,
  "crystal_system": "tetragonal",
  "space_group": "P4mm"
}

x) {
  "formula": "FeW2Au",
  "functional": "GGA-PBEsol",
  "state": "optimized geometry",
  "lattice": [[2.760, 0.000, 0.000], [-1.380, 2.390, 0.000], [0.000, 0.000, 26.942]],
  "species": ["Fe", "Fe", "Fe", "W", "W", "W", "W", "W", "W", "Au", "Au", "Au"],
  "frac_coords": [[0.000, 0.000, 0.000], [0.333, 0.667, 0.667], [0.667, 0.333, 0.333], [0.000, 0.000, 0.495], [0.000, 0.000, 0.738], [0.333, 0.667, 0.161], [0.333, 0.667, 0.405], [0.667, 0.333, 0.072], [0.667, 0.333, 0.828], [0.000, 0.000, 0.251], [0.333, 0.667, 0.917], [0.667, 0.333, 0.584]],
  "m_tot_mub_per_atom": 0.001,
  "crystal_system": "trigonal",
  "space_group": "R3m"
}

w) has the most favorable energy; the next structure is 99 meV per atom above.

w) {
  "formula": "Fe2WAu",
  "functional": "GGA-PBEsol",
  "state": "optimized geometry",
  "lattice": [[5.444, 0.000, 0.000], [0.000, 7.144, 0.000], [0.000, 0.000, 2.756]],
  "species": ["Fe", "Fe", "Fe", "Fe", "W", "W", "Au", "Au"],
  "frac_coords": [[0.250, 0.250, 0.000], [0.250, 0.750, 0.000], [0.750, 0.250, 0.000], [0.750, 0.750, 0.000], [0.000, 0.000, 0.500], [0.500, 0.500, 0.500], [0.000, 0.500, 0.500], [0.500, 0.000, 0.500]],
  "m_tot_mub_per_atom": 0.758,
  "crystal_system": "orthorhombic",
  "space_group": "Cmmm"
}

x) {
  "formula": "Fe2WAu",
  "functional": "GGA-PBEsol",
  "state": "optimized geometry",
  "lattice": [[3.850, 0.000, 0.000], [0.000, 3.850, 0.000], [0.000, 0.000, 7.104]],
  "species": ["Fe", "Fe", "Fe", "Fe", "W", "W", "Au", "Au"],
  "frac_coords": [[0.000, 0.500, 0.250], [0.000, 0.500, 0.750], [0.500, 0.000, 0.250], [0.500, 0.000, 0.750], [0.000, 0.000, 0.000], [0.500, 0.500, 0.500], [0.000, 0.000, 0.500], [0.500, 0.500, 0.000]],
  "m_tot_mub_per_atom": 0.586,
  "crystal_system": "tetragonal",
  "space_group": "I4/mmm"
}

y) {
  "formula": "Fe2WAu",
  "functional": "GGA-PBEsol",
  "state": "optimized geometry",
  "lattice": [[2.815, 0.000, 0.000], [0.000, 2.815, 0.000], [0.000, 0.000, 6.837]],
  "species": ["Fe", "Fe", "W", "Au"],
  "frac_coords": [[0.000, 0.000, 0.000], [0.500, 0.500, 0.194], [0.000, 0.000, 0.430], [0.500, 0.500, 0.735]],
  "m_tot_mub_per_atom": 1.060,
  "crystal_system": "tetragonal",
  "space_group": "P4mm"
}

y) has the most favorable energy; the next structure is 22 meV per atom above.

w) {
  "formula": "Fe2WAu",
  "functional": "GGA-PBEsol",
  "state": "optimized geometry",
  "lattice": [[8.607, 0.000, 0.000], [0.000, 2.701, 0.000], [-0.761, 0.000, 4.734]],
  "species": ["Fe", "Fe", "Fe", "Fe", "W", "W", "Au", "Au"],
  "frac_coords": [[0.250, 0.000, 0.233], [0.250, 0.500, 0.767], [0.750, 0.000, 0.767], [0.750, 0.500, 0.233], [0.000, 0.500, 0.000], [0.500, 0.000, 0.000], [0.000, 0.000, 0.500], [0.500, 0.500, 0.500]],
  "m_tot_mub_per_atom": 1.024,
  "crystal_system": "monoclinic",
  "space_group": "C2/m"
}

x) {
  "formula": "Fe2WAu",
  "functional": "GGA-PBEsol",
  "state": "optimized geometry",
  "lattice": [[3.080, 0.000, 0.000], [0.000, 3.080, 0.000], [0.000, 0.000, 5.630]],
  "species": ["Fe", "Fe", "W", "Au"],
  "frac_coords": [[0.000, 0.000, 0.225], [0.000, 0.000, 0.775], [0.500, 0.500, 0.000], [0.500, 0.500, 0.500]],
  "m_tot_mub_per_atom": 0.511,
  "crystal_system": "tetragonal",
  "space_group": "P4/mmm"
}

x) has the most favorable energy; the next structure is 105 meV per atom above.

w) {
  "formula": "Zr2FeAu",
  "functional": "GGA-PBEsol",
  "state": "optimized geometry",
  "lattice": [[3.101, 0.000, 0.000], [0.000, 3.101, 0.000], [-0.013, 0.000, 7.185]],
  "species": ["Zr", "Zr", "Fe", "Au"],
  "frac_coords": [[0.001, 0.000, 0.281], [0.999, 0.000, 0.719], [0.500, 0.500, 0.500], [0.500, 0.500, 0.000]],
  "m_tot_mub_per_atom": 0.107,
  "crystal_system": "monoclinic",
  "space_group": "P2/m"
}

x) {
  "formula": "Zr2FeAu",
  "functional": "GGA-PBEsol",
  "state": "optimized geometry",
  "lattice": [[3.362, 0.000, 0.000], [0.000, 3.362, 0.000], [0.000, 0.000, 6.302]],
  "species": ["Zr", "Zr", "Fe", "Au"],
  "frac_coords": [[0.000, 0.000, 0.000], [0.500, 0.500, 0.305], [0.500, 0.500, 0.791], [0.000, 0.000, 0.550]],
  "m_tot_mub_per_atom": 0.517,
  "crystal_system": "tetragonal",
  "space_group": "P4mm"
}

w) has the most favorable energy; the next structure is 189 meV per atom above.